(1)
{"formula": "YCrRe2", "functional": "PBE-GGA", "state": "optimized geometry", "spacegroup": "P4/mmm (123)", "magmom_total_mub_per_fu": 0.0, "lattice": [[3.074, 0.000, 0.000], [0.000, 3.074, 0.000], [0.000, 0.000, 7.177]], "species": ["Y", "Cr", "Re", "Re"], "frac_coords": [[0.000, 0.000, 0.000], [0.000, 0.000, 0.500], [0.500, 0.500, 0.308], [0.500, 0.500, 0.692]]}

---

(2)
{"formula": "YCrRe2", "functional": "PBE-GGA", "state": "optimized geometry", "spacegroup": "Imm2 (44)", "magmom_total_mub_per_fu": 1.0, "lattice": [[-1.571, 2.363, 4.575], [1.571, -2.363, 4.575], [1.571, 2.363, -4.575]], "species": ["Y", "Cr", "Re", "Re"], "frac_coords": [[0.000, 0.000, 0.000], [0.272, 0.772, 0.500], [0.496, 0.496, 0.000], [0.726, 0.226, 0.500]]}

---

(3)
{"formula": "YCrRe2", "functional": "PBE-GGA", "state": "optimized geometry", "spacegroup": "R3m (160)", "magmom_total_mub_per_fu": 0.0, "lattice": [[1.489, 0.860, 8.907], [-1.489, 0.860, 8.907], [0.000, -1.720, 8.907]], "species": ["Y", "Cr", "Re", "Re"], "frac_coords": [[0.000, 0.000, 0.000], [0.240, 0.240, 0.240], [0.508, 0.508, 0.508], [0.764, 0.764, 0.764]]}

---

(1) takes first place; second place is 159 meV per atom up.

---

(1)
{"formula": "YCrRe2", "functional": "PBE-GGA", "state": "optimized geometry", "spacegroup": "Pm (6)", "magmom_total_mub_per_fu": 0.9, "lattice": [[2.901, 0.000, 0.000], [0.000, 4.213, 0.000], [-1.341, 0.000, 5.739]], "species": ["Y", "Cr", "Re", "Re"], "frac_coords": [[0.000, 0.000, 0.000], [0.754, 0.500, 0.307], [0.269, 0.500, 0.686], [0.525, 0.000, 0.493]]}

---

(2)
{"formula": "YCrRe2", "functional": "PBE-GGA", "state": "optimized geometry", "spacegroup": "I4_1/amd (141)", "magmom_total_mub_per_fu": 0.1, "lattice": [[-2.405, 2.405, 8.039], [2.405, -2.405, 8.039], [2.405, 2.405, -8.039]], "species": ["Y", "Y", "Cr", "Cr", "Re", "Re", "Re", "Re"], "frac_coords": [[0.375, 0.625, 0.750], [0.625, 0.375, 0.250], [0.125, 0.875, 0.250], [0.875, 0.125, 0.750], [0.000, 0.000, 0.000], [0.000, 0.000, 0.500], [0.000, 0.500, 0.000], [0.500, 0.000, 0.500]]}

---

(1) takes first place; second place is 548 meV per atom up.

---

(1)
{"formula": "YCrRe", "functional": "PBE-GGA", "state": "optimized geometry", "spacegroup": "F-43m (216)", "magmom_total_mub_per_fu": 0.0, "lattice": [[0.000, 3.071, 3.071], [3.071, 0.000, 3.071], [3.071, 3.071, 0.000]], "species": ["Y", "Cr", "Re"], "frac_coords": [[0.000, 0.000, 0.000], [0.250, 0.250, 0.250], [0.500, 0.500, 0.500]]}

---

(2)
{"formula": "YCrRe", "functional": "PBE-GGA", "state": "optimized geometry", "spacegroup": "Fmm2 (42)", "magmom_total_mub_per_fu": 0.0, "lattice": [[0.000, 2.400, 6.721], [1.640, 0.000, 6.721], [1.640, 2.400, 0.000]], "species": ["Y", "Cr", "Re"], "frac_coords": [[0.000, 0.000, 0.000], [0.683, 0.683, 0.317], [0.312, 0.312, 0.688]]}

---

(2) takes first place; second place is 176 meV per atom up.

---

(1)
{"formula": "YCrRe", "functional": "PBE-GGA", "state": "optimized geometry", "spacegroup": "P3m1 (156)", "magmom_total_mub_per_fu": 0.0, "lattice": [[3.098, 0.000, 0.000], [-1.549, 2.683, 0.000], [0.000, 0.000, 6.648]], "species": ["Y", "Cr", "Re"], "frac_coords": [[0.000, 0.000, 0.000], [0.667, 0.333, 0.375], [0.333, 0.667, 0.617]]}

---

(2)
{"formula": "YCrRe", "functional": "PBE-GGA", "state": "optimized geometry", "spacegroup": "P-6m2 (187)", "magmom_total_mub_per_fu": 1.0, "lattice": [[3.987, 0.000, 0.000], [-1.993, 3.453, 0.000], [0.000, 0.000, 4.539]], "species": ["Y", "Cr", "Re"], "frac_coords": [[0.000, 0.000, 0.000], [0.667, 0.333, 0.500], [0.333, 0.667, 0.500]]}

---

(2) takes first place; second place is 274 meV per atom up.

---

(1)
{"formula": "YCrRe", "functional": "PBE-GGA", "state": "optimized geometry", "spacegroup": "I4mm (107)", "magmom_total_mub_per_fu": 0.0, "lattice": [[-1.556, 1.556, 5.574], [1.556, -1.556, 5.574], [1.556, 1.556, -5.574]], "species": ["Y", "Cr", "Re"], "frac_coords": [[0.000, 0.000, 0.000], [0.303, 0.303, 0.000], [0.699, 0.699, 0.000]]}

---

(2)
{"formula": "YCrRe", "functional": "PBE-GGA", "state": "optimized geometry", "spacegroup": "F-43m (216)", "magmom_total_mub_per_fu": 2.1, "lattice": [[0.000, 3.273, 3.273], [3.273, 0.000, 3.273], [3.273, 3.273, 0.000]], "species": ["Y", "Cr", "Re"], "frac_coords": [[0.000, 0.000, 0.000], [0.250, 0.250, 0.250], [0.750, 0.750, 0.750]]}

---

(1) takes first place; second place is 1433 meV per atom up.

---

(1)
{"formula": "ZnCr3Re", "functional": "PBE-GGA", "state": "optimized geometry", "spacegroup": "Pm-3m (221)", "magmom_total_mub_per_fu": 7.0, "lattice": [[4.422, 0.000, 0.000], [0.000, 4.422, 0.000], [0.000, 0.000, 4.422]], "species": ["Zn", "Cr", "Cr", "Cr", "Re"], "frac_coords": [[0.000, 0.000, 0.000], [0.000, 0.000, 0.500], [0.000, 0.500, 0.000], [0.500, 0.000, 0.000], [0.500, 0.500, 0.500]]}

---

(2)
{"formula": "ZnCr3Re", "functional": "PBE-GGA", "state": "optimized geometry", "spacegroup": "Pm-3m (221)", "magmom_total_mub_per_fu": 8.0, "lattice": [[4.663, 0.000, 0.000], [0.000, 4.663, 0.000], [0.000, 0.000, 4.663]], "species": ["Zn", "Cr", "Cr", "Cr", "Re"], "frac_coords": [[0.000, 0.000, 0.000], [0.000, 0.500, 0.500], [0.500, 0.000, 0.500], [0.500, 0.500, 0.000], [0.500, 0.500, 0.500]]}

---

(2) takes first place; second place is 376 meV per atom up.

---

(1)
{"formula": "ZnCrRe3", "functional": "PBE-GGA", "state": "optimized geometry", "spacegroup": "Pm-3m (221)", "magmom_total_mub_per_fu": 0.0, "lattice": [[4.450, 0.000, 0.000], [0.000, 4.450, 0.000], [0.000, 0.000, 4.450]], "species": ["Zn", "Cr", "Re", "Re", "Re"], "frac_coords": [[0.000, 0.000, 0.000], [0.500, 0.500, 0.500], [0.000, 0.500, 0.500], [0.500, 0.000, 0.500], [0.500, 0.500, 0.000]]}

---

(2)
{"formula": "ZnCrRe3", "functional": "PBE-GGA", "state": "optimized geometry", "spacegroup": "Pm-3m (221)", "magmom_total_mub_per_fu": 0.0, "lattice": [[4.422, 0.000, 0.000], [0.000, 4.422, 0.000], [0.000, 0.000, 4.422]], "species": ["Zn", "Cr", "Re", "Re", "Re"], "frac_coords": [[0.000, 0.000, 0.000], [0.500, 0.500, 0.500], [0.000, 0.000, 0.500], [0.000, 0.500, 0.000], [0.500, 0.000, 0.000]]}

---

(1) takes first place; second place is 629 meV per atom up.

---

(1)
{"formula": "ZrCrRe3", "functional": "PBE-GGA", "state": "optimized geometry", "spacegroup": "Pm-3m (221)", "magmom_total_mub_per_fu": 0.1, "lattice": [[4.713, 0.000, 0.000], [0.000, 4.713, 0.000], [0.000, 0.000, 4.713]], "species": ["Zr", "Cr", "Re", "Re", "Re"], "frac_coords": [[0.000, 0.000, 0.000], [0.500, 0.500, 0.500], [0.000, 0.000, 0.500], [0.000, 0.500, 0.000], [0.500, 0.000, 0.000]]}

---

(2)
{"formula": "ZrCrRe3", "functional": "PBE-GGA", "state": "optimized geometry", "spacegroup": "Pm-3m (221)", "magmom_total_mub_per_fu": 0.0, "lattice": [[4.473, 0.000, 0.000], [0.000, 4.473, 0.000], [0.000, 0.000, 4.473]], "species": ["Zr", "Cr", "Re", "Re", "Re"], "frac_coords": [[0.000, 0.000, 0.000], [0.500, 0.500, 0.500], [0.000, 0.500, 0.500], [0.500, 0.000, 0.500], [0.500, 0.500, 0.000]]}

---

(2) takes first place; second place is 1988 meV per atom up.

---

(1)
{"formula": "Zr2CrRe", "functional": "PBE-GGA", "state": "optimized geometry", "spacegroup": "Fm-3m (225)", "magmom_total_mub_per_fu": 2.7, "lattice": [[0.000, 3.312, 3.312], [3.312, 0.000, 3.312], [3.312, 3.312, 0.000]], "species": ["Zr", "Zr", "Cr", "Re"], "frac_coords": [[0.250, 0.250, 0.250], [0.750, 0.750, 0.750], [0.000, 0.000, 0.000], [0.500, 0.500, 0.500]]}

---

(2)
{"formula": "Zr2CrRe", "functional": "PBE-GGA", "state": "optimized geometry", "spacegroup": "Pmmm (47)", "magmom_total_mub_per_fu": 0.0, "lattice": [[3.284, 0.000, 0.000], [0.000, 4.422, 0.000], [0.000, 0.000, 4.783]], "species": ["Zr", "Zr", "Cr", "Re"], "frac_coords": [[0.000, 0.000, 0.000], [0.500, 0.000, 0.500], [0.000, 0.500, 0.500], [0.500, 0.500, 0.000]]}

---

(1) takes first place; second place is 234 meV per atom up.

---

(1)
{"formula": "Zr2CrRe", "functional": "PBE-GGA", "state": "optimized geometry", "spacegroup": "Imm2 (44)", "magmom_total_mub_per_fu": 0.0, "lattice": [[-1.617, 2.305, 4.747], [1.617, -2.305, 4.747], [1.617, 2.305, -4.747]], "species": ["Zr", "Zr", "Cr", "Re"], "frac_coords": [[0.000, 0.000, 0.000], [0.728, 0.228, 0.500], [0.468, 0.468, 0.000], [0.258, 0.758, 0.500]]}

---

(2)
{"formula": "Zr2CrRe", "functional": "PBE-GGA", "state": "optimized geometry", "spacegroup": "C2/m (12)", "magmom_total_mub_per_fu": 0.0, "lattice": [[2.910, -4.419, 0.000], [2.910, 4.419, 0.000], [-1.060, 0.000, 2.709]], "species": ["Zr", "Zr", "Cr", "Re"], "frac_coords": [[0.000, 0.500, 0.000], [0.500, 0.000, 0.000], [0.000, 0.000, 0.500], [0.500, 0.500, 0.500]]}

---

(3)
{"formula": "Zr2CrRe", "functional": "PBE-GGA", "state": "optimized geometry", "spacegroup": "R3m (160)", "magmom_total_mub_per_fu": 0.0, "lattice": [[1.518, 0.876, 9.133], [-1.518, 0.876, 9.133], [0.000, -1.752, 9.133]], "species": ["Zr", "Zr", "Cr", "Re"], "frac_coords": [[0.000, 0.000, 0.000], [0.233, 0.233, 0.233], [0.750, 0.750, 0.750], [0.478, 0.478, 0.478]]}

---

(4)
{"formula": "Zr2CrRe", "functional": "PBE-GGA", "state": "optimized geometry", "spacegroup": "Cmm2 (35)", "magmom_total_mub_per_fu": 0.0, "lattice": [[1.609, -2.379, 0.000], [1.609, 2.379, 0.000], [0.000, 0.000, 9.243]], "species": ["Zr", "Zr", "Cr", "Re"], "frac_coords": [[0.000, 0.000, 0.000], [0.500, 0.500, 0.309], [0.000, 0.000, 0.547], [0.500, 0.500, 0.747]]}

---

(1) takes first place; second place is 186 meV per atom up.

---

(1)
{"formula": "Zr2CrRe", "functional": "PBE-GGA", "state": "optimized geometry", "spacegroup": "R-3m (166)", "magmom_total_mub_per_fu": 2.4, "lattice": [[1.577, 0.911, 8.656], [-1.577, 0.911, 8.656], [0.000, -1.821, 8.656]], "species": ["Zr", "Zr", "Cr", "Re"], "frac_coords": [[0.248, 0.248, 0.248], [0.752, 0.752, 0.752], [0.000, 0.000, 0.000], [0.500, 0.500, 0.500]]}

---

(2)
{"formula": "Zr2CrRe", "functional": "PBE-GGA", "state": "optimized geometry", "spacegroup": "P4mm (99)", "magmom_total_mub_per_fu": 0.0, "lattice": [[3.008, 0.000, 0.000], [0.000, 3.008, 0.000], [0.000, 0.000, 8.110]], "species": ["Zr", "Zr", "Cr", "Re"], "frac_coords": [[0.000, 0.000, 0.000], [0.500, 0.500, 0.352], [0.000, 0.000, 0.588], [0.500, 0.500, 0.752]]}

---

(3)
{"formula": "Zr2CrRe", "functional": "PBE-GGA", "state": "optimized geometry", "spacegroup": "Cmmm (65)", "magmom_total_mub_per_fu": 0.0, "lattice": [[1.646, -2.401, 0.000], [1.646, 2.401, 0.000], [0.000, 0.000, 8.799]], "species": ["Zr", "Zr", "Cr", "Re"], "frac_coords": [[0.000, 0.000, 0.242], [0.000, 0.000, 0.758], [0.500, 0.500, 0.000], [0.500, 0.500, 0.500]]}

---

(2) takes first place; second place is 213 meV per atom up.

---

(1)
{"formula": "Zr2CrRe", "functional": "PBE-GGA", "state": "optimized geometry", "spacegroup": "I-42d (122)", "magmom_total_mub_per_fu": 2.7, "lattice": [[-3.672, 3.672, 2.838], [3.672, -3.672, 2.838], [3.672, 3.672, -2.838]], "species": ["Zr", "Zr", "Zr", "Zr", "Cr", "Cr", "Re", "Re"], "frac_coords": [[0.122, 0.125, 0.497], [0.375, 0.878, 0.003], [0.628, 0.625, 0.503], [0.875, 0.372, 0.997], [0.250, 0.750, 0.500], [0.500, 0.500, 0.000], [0.000, 0.000, 0.000], [0.750, 0.250, 0.500]]}

---

(2)
{"formula": "Zr2CrRe", "functional": "PBE-GGA", "state": "optimized geometry", "spacegroup": "Pm (6)", "magmom_total_mub_per_fu": 0.0, "lattice": [[3.025, 0.000, 0.000], [0.000, 4.377, 0.000], [-1.157, 0.000, 5.325]], "species": ["Zr", "Zr", "Cr", "Re"], "frac_coords": [[0.000, 0.000, 0.000], [0.286, 0.500, 0.714], [0.753, 0.500, 0.256], [0.542, 0.000, 0.467]]}

---

(3)
{"formula": "Zr2CrRe", "functional": "PBE-GGA", "state": "optimized geometry", "spacegroup": "F-43m (216)", "magmom_total_mub_per_fu": 0.0, "lattice": [[0.000, 3.247, 3.247], [3.247, 0.000, 3.247], [3.247, 3.247, 0.000]], "species": ["Zr", "Zr", "Cr", "Re"], "frac_coords": [[0.000, 0.000, 0.000], [0.250, 0.250, 0.250], [0.750, 0.750, 0.750], [0.500, 0.500, 0.500]]}

---

(3) takes first place; second place is 9 meV per atom up.